{"formula": "Pm2Zn3Pt4", "functional": "PBE", "state": "optimized geometry", "cell": [[5.6590, 0.0000, 0.0000], [0.0000, 7.6170, 0.0000], [-2.8295, 0.0000, 7.7550]], "species": ["Pt", "Pm", "Zn", "Zn", "Pt", "Pt", "Zn", "Pt", "Zn", "Pm", "Pm", "Pt", "Zn", "Pt", "Pt", "Pt", "Pm", "Zn"], "frac_coords": [[0.8224, 0.0252, 0.6447], [0.6120, 0.9149, 0.2241], [0.5222, 0.7500, 0.5445], [0.4778, 0.2500, 0.4555], [0.1776, 0.9748, 0.3553], [0.8096, 0.2500, 0.1192], [0.5000, 0.5000, 0.0000], [0.6904, 0.7500, 0.8808], [0.0000, 0.0000, 0.0000], [0.3880, 0.0851, 0.7759], [0.1120, 0.5851, 0.2241], [0.1904, 0.7500, 0.8808], [0.9778, 0.2500, 0.4555], [0.6776, 0.5252, 0.3553], [0.3096, 0.2500, 0.1192], [0.3224, 0.4748, 0.6447], [0.8880, 0.4149, 0.7759], [0.0222, 0.7500, 0.5445]], "total_energy_ev_per_atom": -5.03, "formation_enthalpy_0k_ev_per_atom": -0.87, "spacegroup": "Cmce"}